A plane-wave DFT calculation with GGA-PBE was carried out for a geometry-optimized Na2Pt3 structure.

Unit cell a=4.386 b=4.386 c=5.512 alpha=90.00 beta=90.00 gamma=120.00
Atoms (fractional coordinates):
Na 0.667 0.333 0.147
Na 0.333 0.667 0.853
Pt 0.000 0.000 0.000
Pt 0.667 0.333 0.625
Pt 0.333 0.667 0.375

Energy above the most stable polymorph in this dataset: 3.202 eV/f.u.
Density of states at the Fermi level: 3.776 states/eV per cell
Calculated formation energy: 531 meV/atom
Calculated total energy: -3.62 eV/atom